The following is a GGA-PBE calculation of PmMg2Ag4 after structural relaxation, from Alexandria.

- magnetic moment (μB/f.u.) = 0.00
- total energy (eV/atom) = -3.031
- E above lowest polymorph (meV per atom) = 0
- symmetry = I4/mmm (139)

Unit cell a=5.6260 b=5.8007 c=5.8007 alpha=76.40 beta=60.99 gamma=60.99
Fractional coordinates of all 7 atoms:
Ag 0.6957 0.6087 0.0000
Ag 0.3043 0.3913 0.0000
Pm 0.0000 0.0000 0.0000
Mg 0.7500 0.5000 0.5000
Ag 0.6957 0.0000 0.6087
Mg 0.2500 0.5000 0.5000
Ag 0.3043 0.0000 0.3913